Sm2Er3Ru2 | the Alexandria database | PBE-GGA | optimized geometry; N(E_F) = 4.62 states/eV per cell; electronic total energy = -6.28 eV per atom; formation enthalpy at 0 K = -325 meV per atom; space-group type = C2/m (12)
1.0
-2.573 -2.008 -2.047
5.749 -1.679 -1.952
-2.590 -4.067 7.244
Sm Er Ru
2 3 2
Direct
0.837 0.673 0.197 Sm
0.163 0.327 0.803 Sm
0.500 0.000 0.000 Er
0.623 0.245 0.426 Er
0.377 0.755 0.574 Er
0.823 0.646 0.771 Ru
0.177 0.354 0.229 Ru

***

Ac2PrTcO8 | the Alexandria database | PBE-GGA | optimized geometry; electronic total energy = -7.74 eV per atom; formation energy from raw total energies = -2.4890 eV per atom; space-group type = P2/m (10)
1.0
5.345 -0.038 -0.002
-0.006 5.413 -0.006
0.003 0.008 7.189
Ac Pr Tc O
2 1 1 8
Direct
0.500 0.500 0.757 Ac
0.500 0.500 0.243 Ac
0.000 0.000 0.500 Pr
0.000 0.000 0.000 Tc
0.169 0.826 0.199 O
0.747 0.758 0.000 O
0.831 0.174 0.199 O
0.831 0.174 0.801 O
0.253 0.242 0.000 O
0.169 0.826 0.801 O
0.691 0.696 0.500 O
0.309 0.304 0.500 O

***

Sm3YGa | the Alexandria database | PBE-GGA | optimized geometry; N(E_F) = 15.47 states/eV per cell; electronic total energy = -4.80 eV per atom; formation enthalpy at 0 K = -71 meV per atom; space-group type = C2/m (12)
1.0
7.521 0.032 -0.284
-2.027 7.243 0.284
-3.272 -3.241 5.976
Sm Y Ga
6 2 2
Direct
0.844 0.052 0.276 Sm
0.224 0.432 0.276 Sm
0.776 0.568 0.724 Sm
0.718 0.441 0.159 Sm
0.156 0.948 0.724 Sm
0.282 0.559 0.841 Sm
0.711 0.059 0.770 Y
0.289 0.941 0.230 Y
0.624 0.753 0.376 Ga
0.376 0.247 0.624 Ga

***

CdHg3Ge | the Alexandria database | PBE-GGA | optimized geometry; N(E_F) = 2.24 states/eV per cell; electronic total energy = -1.08 eV per atom; formation enthalpy at 0 K = 209 meV per atom; space-group type = Pm-3m (221); relative energy among the computed polymorphs = 0 meV/atom
1.0
-1.328 3.393 4.039
-4.919 -2.301 0.317
1.906 -3.575 3.630
Ge Hg Cd
1 3 1
Direct
0.000 0.000 0.000 Ge
0.000 0.500 0.000 Hg
0.000 0.000 0.500 Hg
0.500 0.000 0.000 Hg
0.500 0.500 0.500 Cd

***

Pm2ScZn2Pd5 | the Alexandria database | PBE-GGA | optimized geometry; N(E_F) = 11.52 states/eV per cell; electronic total energy = -5.17 eV per atom; formation enthalpy at 0 K = -736 meV per atom; space-group type = P4/mbm (127)
1.0
-0.691 -1.830 3.299
3.749 -8.330 -3.835
8.995 2.535 3.289
Pm Sc Zn Pd
4 2 4 10
Direct
0.000 0.677 0.177 Pm
0.000 0.323 0.823 Pm
0.000 0.177 0.323 Pm
0.000 0.823 0.677 Pm
0.000 0.000 0.000 Sc
0.000 0.500 0.500 Sc
0.000 0.120 0.620 Zn
0.000 0.880 0.380 Zn
0.000 0.620 0.880 Zn
0.000 0.380 0.120 Zn
0.500 0.207 0.065 Pd
0.500 0.793 0.935 Pd
0.500 0.065 0.793 Pd
0.500 0.707 0.435 Pd
0.500 0.935 0.207 Pd
0.500 0.293 0.565 Pd
0.500 0.565 0.707 Pd
0.500 0.435 0.293 Pd
0.500 0.500 0.000 Pd
0.500 0.000 0.500 Pd

***

NaSn2Sb4 | the Alexandria database | PBE-GGA | optimized geometry; N(E_F) = 5.90 states/eV per cell; electronic total energy = -3.26 eV per atom; formation energy from raw total energies = 0.4300 eV per atom; space-group type = I4/mmm (139)
1.0
-1.623 0.236 5.171
4.236 -3.054 1.469
5.946 5.573 4.457
Sb Sn Na
4 2 1
Direct
0.765 0.765 0.471 Sb
0.235 0.235 0.529 Sb
0.000 0.500 0.000 Sb
0.500 0.000 0.000 Sb
0.598 0.598 0.804 Sn
0.402 0.402 0.196 Sn
0.000 0.000 0.000 Na

***

Hf3VPb | the Alexandria database | PBE-GGA | optimized geometry; N(E_F) = 8.55 states/eV per cell; electronic total energy = -6.86 eV per atom; formation enthalpy at 0 K = 1675 meV per atom; space-group type = Pm-3m (221); relative energy among the computed polymorphs = 1031 meV/atom
1.0
-0.390 2.825 4.457
-4.069 -3.007 1.549
3.360 -3.313 2.394
Pb Hf V
1 3 1
Direct
0.000 0.000 0.000 Pb
0.000 0.500 0.000 Hf
0.000 0.000 0.500 Hf
0.500 0.000 0.000 Hf
0.500 0.500 0.500 V

***

PmPuNi4 | the Alexandria database | PBE-GGA | optimized geometry; N(E_F) = 16.83 states/eV per cell; electronic total energy = -7.31 eV per atom; formation enthalpy at 0 K = -273 meV per atom; space-group type = F-43m (216)
1.0
5.105 0.000 0.000
2.552 4.421 0.000
2.552 1.474 4.168
Ni Pm Pu
4 1 1
Direct
0.626 0.626 0.122 Ni
0.626 0.122 0.626 Ni
0.626 0.626 0.626 Ni
0.122 0.626 0.626 Ni
0.250 0.250 0.250 Pm
0.000 0.000 0.000 Pu

***

Li3Cr | the Alexandria database | PBE-GGA | optimized geometry; N(E_F) = 1.50 states/eV per cell; electronic total energy = -3.47 eV per atom; formation enthalpy at 0 K = 367 meV per atom; space-group type = R-3m (166); relative energy among the computed polymorphs = 1 meV/atom
1.0
-4.101 0.670 -3.557
-1.226 -2.357 4.781
3.883 3.852 0.059
Cr Li
1 3
Direct
0.000 0.000 0.000 Cr
0.500 0.000 0.500 Li
0.500 0.500 0.000 Li
0.000 0.500 0.500 Li

***

Al2Pt2Rh | the Alexandria database | PBE-GGA | optimized geometry; N(E_F) = 2.03 states/eV per cell; electronic total energy = -5.87 eV per atom; formation enthalpy at 0 K = -482 meV per atom; space-group type = I4/mmm (139); relative energy among the computed polymorphs = 431 meV/atom
1.0
-1.249 -1.224 -3.353
1.469 -3.414 0.699
-4.815 -3.941 1.101
Rh Al Pt
1 2 2
Direct
0.000 0.000 0.000 Rh
0.392 0.392 0.216 Al
0.608 0.608 0.784 Al
0.750 0.250 0.500 Pt
0.250 0.750 0.500 Pt

***

Li3Cu4F9 | the Alexandria database | PBE-GGA | optimized geometry; N(E_F) = 4.30 states/eV per cell; electronic total energy = -4.36 eV per atom; formation energy from raw total energies = -1.9239 eV per atom; space-group type = P1 (1)
1.0
-2.196 -4.661 1.759
2.095 -0.308 -4.590
6.967 -0.483 3.454
Li Cu F
3 4 9
Direct
0.068 0.075 0.984 Li
0.590 0.808 0.441 Li
0.803 0.351 0.263 Li
0.438 0.708 0.060 Cu
0.610 0.271 0.753 Cu
0.062 0.510 0.682 Cu
0.197 0.094 0.376 Cu
0.117 0.327 0.198 F
0.740 0.689 0.239 F
0.450 0.015 0.235 F
0.118 0.743 0.899 F
0.923 0.192 0.497 F
0.558 0.479 0.563 F
0.710 0.038 0.906 F
0.350 0.363 0.889 F
0.285 0.845 0.541 F

***

Cu2TcN2 | the Alexandria database | PBE-GGA | optimized geometry; N(E_F) = 3.37 states/eV per cell; electronic total energy = -5.79 eV per atom; formation energy from raw total energies = 1.2562 eV per atom; space-group type = I4/mmm (139); relative energy among the computed polymorphs = 912 meV/atom
1.0
3.055 0.000 0.000
0.000 3.055 0.000
1.527 1.527 5.467
Tc Cu N
1 2 2
Direct
0.000 0.000 0.000 Tc
0.750 0.250 0.500 Cu
0.250 0.750 0.500 Cu
0.396 0.396 0.208 N
0.604 0.604 0.792 N

***

Ho4Ga12Ag | the Alexandria database | PBE-GGA | optimized geometry; N(E_F) = 7.34 states/eV per cell; electronic total energy = -3.88 eV per atom; formation enthalpy at 0 K = -497 meV per atom; space-group type = Im-3m (229)
1.0
-6.793 0.754 -3.115
0.424 -6.627 3.509
1.109 5.533 4.957
Ho Ga Ag
4 12 1
Direct
0.000 0.000 0.500 Ho
0.500 0.000 0.000 Ho
0.500 0.500 0.500 Ho
0.000 0.500 0.000 Ho
0.000 0.304 0.304 Ga
0.000 0.696 0.696 Ga
0.696 0.696 0.000 Ga
0.304 0.304 0.000 Ga
0.304 0.000 0.304 Ga
0.696 0.000 0.696 Ga
0.500 0.250 0.750 Ga
0.500 0.750 0.250 Ga
0.750 0.250 0.500 Ga
0.250 0.750 0.500 Ga
0.750 0.500 0.250 Ga
0.250 0.500 0.750 Ga
0.000 0.000 0.000 Ag

***

LiNiRh2 | the Alexandria database | PBE-GGA | optimized geometry; N(E_F) = 7.21 states/eV per cell; electronic total energy = -5.52 eV per atom; formation enthalpy at 0 K = 82 meV per atom; space-group type = F-43m (216); relative energy among the computed polymorphs = 144 meV/atom
1.0
4.214 0.000 0.000
2.107 3.649 0.000
2.107 1.216 3.441
Li Ni Rh
1 1 2
Direct
0.500 0.500 0.500 Li
0.250 0.250 0.250 Ni
0.000 0.000 0.000 Rh
0.750 0.750 0.750 Rh

***

YSb3Pd | the Alexandria database | PBE-GGA | optimized geometry; N(E_F) = 2.78 states/eV per cell; electronic total energy = -4.14 eV per atom; formation energy from raw total energies = 0.6690 eV per atom; space-group type = Pm-3m (221); relative energy among the computed polymorphs = 732 meV/atom
1.0
-0.974 5.191 -2.155
-5.101 0.103 2.552
2.361 2.363 4.624
Y Sb Pd
1 3 1
Direct
0.000 0.000 0.000 Y
0.000 0.500 0.000 Sb
0.000 0.000 0.500 Sb
0.500 0.000 0.000 Sb
0.500 0.500 0.500 Pd

***

Hf2Zr2Ni15 | the Alexandria database | PBE-GGA | optimized geometry; N(E_F) = 24.84 states/eV per cell; electronic total energy = -6.79 eV per atom; formation enthalpy at 0 K = -282 meV per atom; space-group type = R-3m (166)
1.0
-3.351 3.944 3.659
-5.324 0.093 -3.438
-3.242 -4.359 3.266
Hf Zr Ni
2 2 15
Direct
0.110 0.110 0.110 Hf
0.890 0.890 0.890 Hf
0.359 0.359 0.359 Zr
0.641 0.641 0.641 Zr
0.500 0.000 0.000 Ni
0.000 0.000 0.500 Ni
0.000 0.500 0.000 Ni
0.000 0.690 0.310 Ni
0.690 0.310 0.000 Ni
0.310 0.000 0.690 Ni
0.310 0.690 0.000 Ni
0.690 0.000 0.310 Ni
0.000 0.310 0.690 Ni
0.166 0.652 0.652 Ni
0.652 0.652 0.166 Ni
0.652 0.166 0.652 Ni
0.834 0.348 0.348 Ni
0.348 0.348 0.834 Ni
0.348 0.834 0.348 Ni

***

PmNd2ErTm4 | the Alexandria database | PBE-GGA | optimized geometry; N(E_F) = 39.58 states/eV per cell; electronic total energy = -4.17 eV per atom; formation enthalpy at 0 K = 423 meV per atom; space-group type = Imma (74)
1.0
-8.399 2.475 3.642
-4.344 -7.160 -4.449
10.572 0.053 5.236
Pm Nd Er Tm
2 4 2 8
Direct
0.000 0.500 0.000 Pm
0.000 0.500 0.500 Pm
0.500 0.000 0.000 Nd
0.500 0.000 0.500 Nd
0.000 0.000 0.500 Nd
0.500 0.500 0.000 Nd
0.500 0.500 0.500 Er
0.000 0.000 0.000 Er
0.245 0.755 0.000 Tm
0.745 0.255 0.500 Tm
0.255 0.745 0.500 Tm
0.755 0.245 0.000 Tm
0.750 0.750 0.995 Tm
0.750 0.750 0.505 Tm
0.250 0.250 0.495 Tm
0.250 0.250 0.005 Tm

***

Al4Fe2Co | the Alexandria database | PBE-GGA | optimized geometry; N(E_F) = 5.40 states/eV per cell; electronic total energy = -5.93 eV per atom; formation enthalpy at 0 K = -355 meV per atom; space-group type = I4/mmm (139)
1.0
4.641 -0.016 -1.643
-2.318 4.023 -1.638
-0.009 0.016 4.924
Co Al Fe
1 4 2
Direct
0.000 0.000 0.000 Co
0.500 0.000 0.000 Al
0.500 0.500 0.500 Al
0.000 0.000 0.500 Al
0.000 0.500 0.000 Al
0.500 0.500 0.000 Fe
0.500 0.000 0.500 Fe

***

DyWC2 | the Alexandria database | PBE-GGA | optimized geometry; N(E_F) = 1.50 states/eV per cell; electronic total energy = -9.17 eV per atom; formation enthalpy at 0 K = -171 meV per atom; space-group type = R-3m (166); relative energy among the computed polymorphs = 116 meV/atom
1.0
3.235 0.000 0.000
1.617 2.801 0.000
1.617 0.934 5.556
C W Dy
2 1 1
Direct
0.262 0.262 0.213 C
0.738 0.738 0.787 C
0.000 0.000 0.000 W
0.500 0.500 0.500 Dy

***

Sr2HPtRh | the Alexandria database | PBE-GGA | optimized geometry; N(E_F) = 1.81 states/eV per cell; electronic total energy = -4.53 eV per atom; space-group type = P4/mmm (123); relative energy among the computed polymorphs = 0 meV/atom
1.0
5.371 0.000 0.000
0.000 5.371 0.000
0.000 0.000 3.507
Sr Rh Pt H
2 1 1 1
Direct
0.000 0.500 0.000 Sr
0.500 0.000 0.000 Sr
0.000 0.000 0.500 Rh
0.500 0.500 0.500 Pt
0.000 0.000 0.000 H

***

CaTcCl2 | the Alexandria database | PBE-GGA | optimized geometry; N(E_F) = 5.86 states/eV per cell; electronic total energy = -4.35 eV per atom; formation energy from raw total energies = -0.3382 eV per atom; space-group type = I-42d (122); relative energy among the computed polymorphs = 209 meV/atom
1.0
4.842 0.000 0.000
0.000 4.842 0.000
2.421 2.421 7.698
Ca Tc Cl
2 2 4
Direct
0.500 0.500 0.000 Ca
0.250 0.750 0.500 Ca
0.000 0.000 0.000 Tc
0.750 0.250 0.500 Tc
0.681 0.125 0.250 Cl
0.069 0.625 0.250 Cl
0.375 0.319 0.750 Cl
0.875 0.931 0.750 Cl

***

GePb2Au2 | the Alexandria database | PBE-GGA | optimized geometry; N(E_F) = 5.42 states/eV per cell; electronic total energy = -3.52 eV per atom; formation enthalpy at 0 K = 200 meV per atom; space-group type = P4/mbm (127); relative energy among the computed polymorphs = 221 meV/atom
1.0
-4.502 -3.418 -6.054
-1.516 -6.557 4.828
-3.013 1.657 1.305
Pb Ge Au
4 2 4
Direct
0.323 0.823 0.000 Pb
0.823 0.677 0.000 Pb
0.677 0.177 0.000 Pb
0.177 0.323 0.000 Pb
0.000 0.000 0.000 Ge
0.500 0.500 0.000 Ge
0.123 0.623 0.500 Au
0.623 0.877 0.500 Au
0.877 0.377 0.500 Au
0.377 0.123 0.500 Au

***

La12CePr3 | the Alexandria database | PBE-GGA | optimized geometry; N(E_F) = 29.55 states/eV per cell; electronic total energy = -4.94 eV per atom; formation enthalpy at 0 K = 18 meV per atom; space-group type = P4/mmm (123)
1.0
-1.377 4.262 2.715
-4.330 0.455 -2.911
-10.443 -12.068 13.646
La Ce Pr
12 1 3
Direct
0.500 0.500 0.000 La
0.500 0.500 0.249 La
0.500 0.500 0.500 La
0.500 0.500 0.751 La
0.500 0.000 0.120 La
0.500 0.000 0.374 La
0.500 0.000 0.626 La
0.500 0.000 0.880 La
0.000 0.500 0.120 La
0.000 0.500 0.374 La
0.000 0.500 0.626 La
0.000 0.500 0.880 La
0.000 0.000 0.000 Ce
0.000 0.000 0.249 Pr
0.000 0.000 0.500 Pr
0.000 0.000 0.751 Pr